# Sr2Si2Mo PBE-GGA optimized geometry
data_Sr2Si2Mo
_chemical_formula_sum 'Sr4 Si4 Mo2'
_space_group_name_H-M_alt 'P 4/m b m'
_space_group_IT_number 127
_space_group_name_Hall '-P 4 2ab'
_cell_length_a 7.020
_cell_length_b 7.020
_cell_length_c 4.919
_cell_angle_alpha 90.00
_cell_angle_beta 90.00
_cell_angle_gamma 90.00
loop_
_atom_site_label
_atom_site_fract_x
_atom_site_fract_y
_atom_site_fract_z
_atom_site_occupancy
Sr1 0.180 0.320 0.000 1
Si1 0.125 0.625 0.500 1
Mo1 0.000 0.000 0.500 1
# uncorrected formation energy = 4.8 kJ per mole of atoms



# Sr2SiMo PBE-GGA optimized geometry
data_Sr2SiMo
_chemical_formula_sum 'Sr4 Si2 Mo2'
_space_group_name_H-M_alt 'A m m 2'
_space_group_IT_number 38
_space_group_name_Hall 'A 2 -2'
_cell_length_a 4.283
_cell_length_b 4.737
_cell_length_c 11.933
_cell_angle_alpha 90.00
_cell_angle_beta 90.00
_cell_angle_gamma 90.00
loop_
_atom_site_label
_atom_site_fract_x
_atom_site_fract_y
_atom_site_fract_z
_atom_site_occupancy
Sr1 0.000 0.000 0.000 1
Sr2 0.500 0.000 0.285 1
Si1 0.500 0.000 0.590 1
Mo1 0.000 0.000 0.689 1
# uncorrected formation energy = 24.0 kJ per mole of atoms



# SrSi2Mo PBE-GGA optimized geometry
data_SrSi2Mo
_chemical_formula_sum 'Sr2 Si4 Mo2'
_space_group_name_H-M_alt 'C 1 2/m 1'
_space_group_IT_number 12
_space_group_name_Hall '-C 2y'
_cell_length_a 6.746
_cell_length_b 7.926
_cell_length_c 2.869
_cell_angle_alpha 90.00
_cell_angle_beta 102.69
_cell_angle_gamma 90.00
loop_
_atom_site_label
_atom_site_fract_x
_atom_site_fract_y
_atom_site_fract_z
_atom_site_occupancy
Sr1 0.000 0.000 0.000 1
Si1 0.250 0.250 0.500 1
Mo1 0.000 0.500 0.000 1
# uncorrected formation energy = 47.4 kJ per mole of atoms
# E above lowest polymorph = 696 meV per atom



# SrSi2Mo PBE-GGA optimized geometry
data_SrSi2Mo
_chemical_formula_sum 'Sr2 Si4 Mo2'
_space_group_name_H-M_alt 'C 1 m 1'
_space_group_IT_number 8
_space_group_name_Hall 'C -2y'
_cell_length_a 8.334
_cell_length_b 3.532
_cell_length_c 6.884
_cell_angle_alpha 90.00
_cell_angle_beta 118.78
_cell_angle_gamma 90.00
loop_
_atom_site_label
_atom_site_fract_x
_atom_site_fract_y
_atom_site_fract_z
_atom_site_occupancy
Sr1 0.000 0.000 0.000 1
Si1 0.136 0.000 0.599 1
Si2 0.444 0.000 0.349 1
Mo1 0.287 0.500 0.461 1
# uncorrected formation energy = -7.7 kJ per mole of atoms
# E above lowest polymorph = 125 meV per atom



# SrSi2Mo PBE-GGA optimized geometry
data_SrSi2Mo
_chemical_formula_sum 'Sr2 Si4 Mo2'
_space_group_name_H-M_alt 'C 1 2/m 1'
_space_group_IT_number 12
_space_group_name_Hall '-C 2y'
_cell_length_a 8.287
_cell_length_b 3.618
_cell_length_c 5.981
_cell_angle_alpha 90.00
_cell_angle_beta 107.23
_cell_angle_gamma 90.00
loop_
_atom_site_label
_atom_site_fract_x
_atom_site_fract_y
_atom_site_fract_z
_atom_site_occupancy
Sr1 0.000 0.000 0.000 1
Si1 0.226 0.000 0.624 1
Mo1 0.000 0.500 0.500 1
# uncorrected formation energy = -19.7 kJ per mole of atoms
# E above lowest polymorph = 0 meV per atom



# SrSi2Mo PBE-GGA optimized geometry
data_SrSi2Mo
_chemical_formula_sum 'Sr2 Si4 Mo2'
_space_group_name_H-M_alt 'I -4 m 2'
_space_group_IT_number 119
_space_group_name_Hall 'I -4 -2'
_cell_length_a 4.100
_cell_length_b 4.100
_cell_length_c 9.357
_cell_angle_alpha 90.00
_cell_angle_beta 90.00
_cell_angle_gamma 90.00
loop_
_atom_site_label
_atom_site_fract_x
_atom_site_fract_y
_atom_site_fract_z
_atom_site_occupancy
Sr1 0.000 0.000 0.000 1
Si1 0.000 0.000 0.500 1
Si2 0.000 0.500 0.250 1
Mo1 0.000 0.500 0.750 1
# uncorrected formation energy = 61.1 kJ per mole of atoms
# E above lowest polymorph = 838 meV per atom



# SrSiMo4 PBE-GGA optimized geometry
data_SrSiMo4
_chemical_formula_sum 'Sr4 Si4 Mo16'
_space_group_name_H-M_alt 'F -4 3 m'
_space_group_IT_number 216
_space_group_name_Hall 'F -4 2 3'
_cell_length_a 7.652
_cell_length_b 7.652
_cell_length_c 7.652
_cell_angle_alpha 90.00
_cell_angle_beta 90.00
_cell_angle_gamma 90.00
loop_
_atom_site_label
_atom_site_fract_x
_atom_site_fract_y
_atom_site_fract_z
_atom_site_occupancy
Sr1 0.000 0.000 0.000 1
Si1 0.250 0.250 0.250 1
Mo1 0.124 0.124 0.624 1
# uncorrected formation energy = 66.8 kJ per mole of atoms



# SrSi2Mo PBE-GGA optimized geometry
data_SrSi2Mo
_chemical_formula_sum 'Sr2 Si4 Mo2'
_space_group_name_H-M_alt 'I m m 2'
_space_group_IT_number 44
_space_group_name_Hall 'I 2 -2'
_cell_length_a 2.944
_cell_length_b 5.074
_cell_length_c 10.214
_cell_angle_alpha 90.00
_cell_angle_beta 90.00
_cell_angle_gamma 90.00
loop_
_atom_site_label
_atom_site_fract_x
_atom_site_fract_y
_atom_site_fract_z
_atom_site_occupancy
Sr1 0.000 0.000 0.000 1
Si1 0.000 0.000 0.505 1
Si2 0.000 0.500 0.789 1
Mo1 0.000 0.500 0.210 1
# uncorrected formation energy = 44.2 kJ per mole of atoms
# E above lowest polymorph = 663 meV per atom



# SrSi4Mo PBE-GGA optimized geometry
data_SrSi4Mo
_chemical_formula_sum 'Sr4 Si16 Mo4'
_space_group_name_H-M_alt 'F -4 3 m'
_space_group_IT_number 216
_space_group_name_Hall 'F -4 2 3'
_cell_length_a 7.392
_cell_length_b 7.392
_cell_length_c 7.392
_cell_angle_alpha 90.00
_cell_angle_beta 90.00
_cell_angle_gamma 90.00
loop_
_atom_site_label
_atom_site_fract_x
_atom_site_fract_y
_atom_site_fract_z
_atom_site_occupancy
Sr1 0.000 0.000 0.000 1
Si1 0.121 0.121 0.379 1
Mo1 0.250 0.250 0.750 1
# uncorrected formation energy = 41.1 kJ per mole of atoms



# Sr2SiMo PBE-GGA optimized geometry
data_Sr2SiMo
_chemical_formula_sum 'Sr8 Si4 Mo4'
_space_group_name_H-M_alt 'F -4 3 m'
_space_group_IT_number 216
_space_group_name_Hall 'F -4 2 3'
_cell_length_a 7.392
_cell_length_b 7.392
_cell_length_c 7.392
_cell_angle_alpha 90.00
_cell_angle_beta 90.00
_cell_angle_gamma 90.00
loop_
_atom_site_label
_atom_site_fract_x
_atom_site_fract_y
_atom_site_fract_z
_atom_site_occupancy
Sr1 0.000 0.000 0.000 1
Sr2 0.250 0.250 0.250 1
Si1 0.000 0.000 0.500 1
Mo1 0.250 0.250 0.750 1
# uncorrected formation energy = 66.1 kJ per mole of atoms



# Sr2SiMo PBE-GGA optimized geometry
data_Sr2SiMo
_chemical_formula_sum 'Sr2 Si1 Mo1'
_space_group_name_H-M_alt 'P 4/m m m'
_space_group_IT_number 123
_space_group_name_Hall '-P 4 2'
_cell_length_a 3.146
_cell_length_b 3.146
_cell_length_c 9.915
_cell_angle_alpha 90.00
_cell_angle_beta 90.00
_cell_angle_gamma 90.00
loop_
_atom_site_label
_atom_site_fract_x
_atom_site_fract_y
_atom_site_fract_z
_atom_site_occupancy
Sr1 0.000 0.000 0.238 1
Si1 0.500 0.500 0.000 1
Mo1 0.500 0.500 0.500 1
# uncorrected formation energy = 64.0 kJ per mole of atoms



# SrSi2Mo PBE-GGA optimized geometry
data_SrSi2Mo
_chemical_formula_sum 'Sr2 Si4 Mo2'
_space_group_name_H-M_alt 'I m m m'
_space_group_IT_number 71
_space_group_name_Hall '-I 2 2'
_cell_length_a 3.452
_cell_length_b 5.721
_cell_length_c 8.693
_cell_angle_alpha 90.00
_cell_angle_beta 90.00
_cell_angle_gamma 90.00
loop_
_atom_site_label
_atom_site_fract_x
_atom_site_fract_y
_atom_site_fract_z
_atom_site_occupancy
Sr1 0.000 0.000 0.000 1
Si1 0.000 0.500 0.207 1
Mo1 0.000 0.000 0.500 1
# uncorrected formation energy = 30.9 kJ per mole of atoms
# E above lowest polymorph = 525 meV per atom



The calculated total energy results, record by record, are as follows: -0.182; -0.171; -0.197; -0.218; -0.222; -0.191; -0.283; -0.198; -0.194; -0.155; -0.156; -0.203 Ha/atom.